Record 1
Crystalline Rb3Th3USe8 at its relaxed geometry, computed with PBE.

Cell lengths 9.616, 9.616, 9.616 Å; angles 52.45, 52.45, 52.45 degrees
Atoms (fractional coordinates):
Rb1 0.000 0.500 0.500
Rb2 0.500 0.000 0.500
Rb3 0.500 0.500 0.000
Th1 0.000 0.000 0.500
Th2 0.000 0.500 0.000
Th3 0.500 0.000 0.000
U1 0.500 0.500 0.500
Se1 0.234 0.732 0.732
Se2 0.235 0.235 0.235
Se3 0.268 0.268 0.766
Se4 0.268 0.766 0.268
Se5 0.732 0.234 0.732
Se6 0.732 0.732 0.234
Se7 0.765 0.765 0.765
Se8 0.766 0.268 0.268

Space group   R-3m, No. 166



Record 2
Crystalline Rb4ThU3Se8 at its relaxed geometry, computed with PBE.

Cell lengths 9.488, 9.488, 9.488 Å; angles 53.29, 53.29, 53.29 degrees
Atoms (fractional coordinates):
Rb1 0.000 0.000 0.000
Rb2 0.000 0.500 0.500
Rb3 0.500 0.000 0.500
Rb4 0.500 0.500 0.000
Th1 0.500 0.500 0.500
U1 0.000 0.000 0.500
U2 0.000 0.500 0.000
U3 0.500 0.000 0.000
Se1 0.233 0.233 0.233
Se2 0.233 0.735 0.735
Se3 0.265 0.265 0.767
Se4 0.265 0.767 0.265
Se5 0.735 0.233 0.735
Se6 0.735 0.735 0.233
Se7 0.767 0.265 0.265
Se8 0.767 0.767 0.767

Space group   R-3m, No. 166



no.,formation energy (no corrections) (meV per atom)
1,-1488
2,-1291